No. 1
LaIn2W: optimized geometry, PBE.

a = 5.099 Å, b = 5.099 Å, c = 5.099 Å
α = 60.00°, β = 60.00°, γ = 60.00°
Fractional positions:
In 0.000 0.000 0.000
In 0.250 0.250 0.250
La 0.500 0.500 0.500
W 0.750 0.750 0.750

Theoretical density = 9.782 g/cm³
Total magnetic moment = 0.00 μB per atom
E_tot = -21.0 eV per cell
Energy of formation = 0.598 eV per atom
ΔE to the lowest computed polymorph = 339 meV per atom
Space-group type = No. 216
Fermi-level density of states = 4.6 states/eV/f.u.

***

No. 2
Pm6YZn2: optimized geometry, PBE.

a = 3.705 Å, b = 6.642 Å, c = 11.704 Å
α = 76.44°, β = 80.89°, γ = 73.81°
Fractional positions:
Pm 0.690 0.495 0.124
Pm 0.310 0.505 0.876
Pm 0.311 0.786 0.591
Pm 0.974 0.726 0.327
Pm 0.026 0.274 0.673
Pm 0.689 0.214 0.409
Y 0.000 0.000 0.000
Zn 0.356 0.091 0.197
Zn 0.644 0.909 0.803

Theoretical density = 6.764 g/cm³
Total magnetic moment = 0.00 μB per atom
E_tot = -38.8 eV per cell
Energy of formation = -0.141 eV per atom
Space-group type = No. 12
Fermi-level density of states = 9.5 states/eV/f.u.